Entry 1:
# K2SiRu, relaxed, DFT PBE-GGA
data_K2SiRu
_chemical_formula_sum 'K2 Si1 Ru1'
_space_group_name_H-M_alt 'P 1 2/m 1'
_space_group_IT_number 10
_cell_length_a 4.330
_cell_length_b 3.354
_cell_length_c 5.626
_cell_angle_alpha 90.00
_cell_angle_beta 90.09
_cell_angle_gamma 90.00
loop_
_space_group_symop_operation_xyz
'x,y,z'
'-x,-y,-z'
'-x,y,-z'
'x,-y,z'
loop_
_atom_site_label
_atom_site_type_symbol
_atom_site_fract_x
_atom_site_fract_y
_atom_site_fract_z
_atom_site_occupancy
K1 K 0.000 0.000 0.000 1
K2 K 0.500 0.500 0.000 1
Si1 Si 0.000 0.500 0.500 1
Ru1 Ru 0.500 0.000 0.500 1
# raw formation energy: 3.41 eV/f.u.
# N(E_F): 2.16 states/eV per cell
# crystal system: monoclinic
# magnetic moment: 0.00 μB per cell


Entry 2:
# CuAgP2S, relaxed, DFT PBE-GGA
data_CuAgP2S
_chemical_formula_sum 'Cu1 Ag1 P2 S1'
_space_group_name_H-M_alt 'P 4/m m m'
_space_group_IT_number 123
_space_group_name_Hall '-P 4 2'
_cell_length_a 4.788
_cell_length_b 4.788
_cell_length_c 4.895
_cell_angle_alpha 90.00
_cell_angle_beta 90.00
_cell_angle_gamma 90.00
loop_
_atom_site_label
_atom_site_type_symbol
_atom_site_fract_x
_atom_site_fract_y
_atom_site_fract_z
_atom_site_occupancy
Cu1 Cu 0.000 0.000 0.000 1
Ag1 Ag 0.500 0.500 0.500 1
P1 P 0.000 0.500 0.500 1
S1 S 0.500 0.500 0.000 1
# raw formation energy: 6.68 eV/f.u.
# N(E_F): 3.95 states/eV per cell
# crystal system: tetragonal
# offset from the most stable computed form: 516.9 meV/atom
# magnetic moment: 0.91 μB per cell


Entry 3:
# FeHg, relaxed, DFT PBE-GGA
data_FeHg
_chemical_formula_sum 'Fe2 Hg2'
_space_group_name_H-M_alt 'P 63/m m c'
_space_group_IT_number 194
_space_group_name_Hall '-P 6c 2c'
_cell_length_a 2.9577
_cell_length_b 2.9577
_cell_length_c 9.0489
_cell_angle_alpha 90.00
_cell_angle_beta 90.00
_cell_angle_gamma 120.00
loop_
_atom_site_label
_atom_site_type_symbol
_atom_site_fract_x
_atom_site_fract_y
_atom_site_fract_z
_atom_site_occupancy
Fe1 Fe 0.3333 0.6667 0.2500 1
Hg1 Hg 0.0000 0.0000 0.0000 1
# calculated formation energy: 548 meV/atom
# N(E_F): 4.81 states/eV per cell
# crystal system: hexagonal
# magnetic moment: 5.37 μB per cell


Entry 4:
# Th3Si2Rh, relaxed, DFT PBE-GGA
data_Th3Si2Rh
_chemical_formula_sum 'Th12 Si8 Rh4'
_space_group_name_H-M_alt 'P n m a'
_space_group_IT_number 62
_cell_length_a 11.815
_cell_length_b 4.256
_cell_length_c 11.611
_cell_angle_alpha 90.00
_cell_angle_beta 90.00
_cell_angle_gamma 90.00
loop_
_space_group_symop_operation_xyz
'x,y,z'
'-x,-y,-z'
'-x+1/2,-y,z+1/2'
'x+1/2,y,-z+1/2'
'x+1/2,-y+1/2,-z+1/2'
'-x+1/2,y+1/2,z+1/2'
'-x,y+1/2,-z'
'x,-y+1/2,z'
loop_
_atom_site_label
_atom_site_type_symbol
_atom_site_fract_x
_atom_site_fract_y
_atom_site_fract_z
_atom_site_occupancy
Th1 Th 0.053 0.250 0.126 1
Th2 Th 0.123 0.750 0.561 1
Th3 Th 0.211 0.250 0.800 1
Si1 Si 0.021 0.750 0.314 1
Si2 Si 0.189 0.750 0.000 1
Rh1 Rh 0.132 0.250 0.372 1
# raw formation energy: -4.66 eV/f.u.
# N(E_F): 21.27 states/eV per cell
# crystal system: orthorhombic
# magnetic moment: 0.00 μB per cell


Entry 5:
# Rb2TlCd12Au3, relaxed, DFT PBE-GGA
data_Rb2TlCd12Au3
_chemical_formula_sum 'Rb6 Tl3 Cd36 Au9'
_space_group_name_H-M_alt 'R -3 m'
_space_group_IT_number 166
_space_group_name_Hall '-R 3 2"'
_cell_length_a 9.9533
_cell_length_b 9.9533
_cell_length_c 21.4222
_cell_angle_alpha 90.00
_cell_angle_beta 90.00
_cell_angle_gamma 120.00
loop_
_atom_site_label
_atom_site_type_symbol
_atom_site_fract_x
_atom_site_fract_y
_atom_site_fract_z
_atom_site_occupancy
Rb1 Rb 0.0000 0.0000 0.0946 1
Tl1 Tl 0.0000 0.0000 0.5000 1
Cd1 Cd 0.0015 0.5007 0.8680 1
Cd2 Cd 0.1095 0.5547 0.3858 1
Au1 Au 0.0000 0.5000 0.0000 1
# calculated formation energy: 70 meV/atom
# N(E_F): 16.40 states/eV per cell
# crystal system: trigonal
# magnetic moment: 0.00 μB per cell


Entry 6:
# CeTaNiP2, relaxed, DFT PBE-GGA
data_CeTaNiP2
_chemical_formula_sum 'Ce2 Ta2 Ni2 P4'
_space_group_name_H-M_alt 'I -4 m 2'
_space_group_IT_number 119
_space_group_name_Hall 'I -4 -2'
_cell_length_a 3.823
_cell_length_b 3.823
_cell_length_c 11.937
_cell_angle_alpha 90.00
_cell_angle_beta 90.00
_cell_angle_gamma 90.00
loop_
_atom_site_label
_atom_site_type_symbol
_atom_site_fract_x
_atom_site_fract_y
_atom_site_fract_z
_atom_site_occupancy
Ce1 Ce 0.000 0.000 0.000 1
Ta1 Ta 0.000 0.500 0.250 1
Ni1 Ni 0.000 0.500 0.750 1
P1 P 0.000 0.000 0.376 1
# calculated formation energy: -839 meV/atom
# N(E_F): 15.34 states/eV per cell
# crystal system: tetragonal
# magnetic moment: 1.13 μB per cell


Entry 7:
# SrCa3Al, relaxed, DFT PBE-GGA
data_SrCa3Al
_chemical_formula_sum 'Sr1 Ca3 Al1'
_space_group_name_H-M_alt 'P m -3 m'
_space_group_IT_number 221
_space_group_name_Hall '-P 4 2 3'
_cell_length_a 6.211
_cell_length_b 6.211
_cell_length_c 6.211
_cell_angle_alpha 90.00
_cell_angle_beta 90.00
_cell_angle_gamma 90.00
loop_
_atom_site_label
_atom_site_type_symbol
_atom_site_fract_x
_atom_site_fract_y
_atom_site_fract_z
_atom_site_occupancy
Sr1 Sr 0.000 0.000 0.000 1
Ca1 Ca 0.000 0.000 0.500 1
Al1 Al 0.500 0.500 0.500 1
# calculated formation energy: 1135 meV/atom
# N(E_F): 6.06 states/eV per cell
# crystal system: cubic
# offset from the most stable computed form: 1079.1 meV/atom
# magnetic moment: 2.53 μB per cell


Entry 8:
# Rb3AcHo2Se6, relaxed, DFT PBE-GGA
data_Rb3AcHo2Se6
_chemical_formula_sum 'Rb6 Ac2 Ho4 Se12'
_space_group_name_H-M_alt 'C 1 2/m 1'
_space_group_IT_number 12
_cell_length_a 7.542
_cell_length_b 13.066
_cell_length_c 8.413
_cell_angle_alpha 90.00
_cell_angle_beta 107.47
_cell_angle_gamma 90.00
loop_
_space_group_symop_operation_xyz
'x,y,z'
'-x,-y,-z'
'-x,y,-z'
'x,-y,z'
'x+1/2,y+1/2,z'
'-x+1/2,-y+1/2,-z'
'-x+1/2,y+1/2,-z'
'x+1/2,-y+1/2,z'
loop_
_atom_site_label
_atom_site_type_symbol
_atom_site_fract_x
_atom_site_fract_y
_atom_site_fract_z
_atom_site_occupancy
Rb1 Rb 0.000 0.000 0.000 1
Rb2 Rb 0.000 0.336 0.000 1
Ac1 Ac 0.000 0.500 0.500 1
Ho1 Ho 0.000 0.167 0.500 1
Se1 Se 0.213 0.000 0.698 1
Se2 Se 0.243 0.323 0.698 1
# raw formation energy: -20.96 eV/f.u.
# N(E_F): 0.00 states/eV per cell
# crystal system: monoclinic
# magnetic moment: 0.00 μB per cell


Entry 9:
# TiGa2Ge, relaxed, DFT PBE-GGA
data_TiGa2Ge
_chemical_formula_sum 'Ti1 Ga2 Ge1'
_space_group_name_H-M_alt 'P 4/m m m'
_space_group_IT_number 123
_space_group_name_Hall '-P 4 2'
_cell_length_a 3.843
_cell_length_b 3.843
_cell_length_c 4.420
_cell_angle_alpha 90.00
_cell_angle_beta 90.00
_cell_angle_gamma 90.00
loop_
_atom_site_label
_atom_site_type_symbol
_atom_site_fract_x
_atom_site_fract_y
_atom_site_fract_z
_atom_site_occupancy
Ti1 Ti 0.000 0.000 0.000 1
Ga1 Ga 0.000 0.500 0.500 1
Ge1 Ge 0.500 0.500 0.000 1
# calculated formation energy: -208 meV/atom
# N(E_F): 2.71 states/eV per cell
# crystal system: tetragonal
# magnetic moment: 0.00 μB per cell


Entry 10:
# YSc3Pd, relaxed, DFT PBE-GGA
data_YSc3Pd
_chemical_formula_sum 'Y1 Sc3 Pd1'
_space_group_name_H-M_alt 'P m -3 m'
_space_group_IT_number 221
_space_group_name_Hall '-P 4 2 3'
_cell_length_a 5.050
_cell_length_b 5.050
_cell_length_c 5.050
_cell_angle_alpha 90.00
_cell_angle_beta 90.00
_cell_angle_gamma 90.00
loop_
_atom_site_label
_atom_site_type_symbol
_atom_site_fract_x
_atom_site_fract_y
_atom_site_fract_z
_atom_site_occupancy
Y1 Y 0.000 0.000 0.000 1
Sc1 Sc 0.000 0.000 0.500 1
Pd1 Pd 0.500 0.500 0.500 1
# calculated formation energy: 1040 meV/atom
# N(E_F): 2.87 states/eV per cell
# crystal system: cubic
# offset from the most stable computed form: 1163.0 meV/atom
# magnetic moment: 0.00 μB per cell


Entry 11:
# Mg6Ni16Ge7, relaxed, DFT PBE-GGA
data_Mg6Ni16Ge7
_chemical_formula_sum 'Mg24 Ni64 Ge28'
_space_group_name_H-M_alt 'F m -3 m'
_space_group_IT_number 225
_space_group_name_Hall '-F 4 2 3'
_cell_length_a 11.563
_cell_length_b 11.563
_cell_length_c 11.563
_cell_angle_alpha 90.00
_cell_angle_beta 90.00
_cell_angle_gamma 90.00
loop_
_atom_site_label
_atom_site_type_symbol
_atom_site_fract_x
_atom_site_fract_y
_atom_site_fract_z
_atom_site_occupancy
Mg1 Mg 0.000 0.000 0.205 1
Ni1 Ni 0.118 0.118 0.382 1
Ni2 Ni 0.169 0.169 0.169 1
Ge1 Ge 0.000 0.000 0.500 1
Ge2 Ge 0.000 0.250 0.250 1
# calculated formation energy: -383 meV/atom
# N(E_F): 88.66 states/eV per cell
# crystal system: cubic
# magnetic moment: 0.00 μB per cell


Entry 12:
# PuAsPt4, relaxed, DFT PBE-GGA
data_PuAsPt4
_chemical_formula_sum 'Pu4 As4 Pt16'
_space_group_name_H-M_alt 'F -4 3 m'
_space_group_IT_number 216
_space_group_name_Hall 'F -4 2 3'
_cell_length_a 7.607
_cell_length_b 7.607
_cell_length_c 7.607
_cell_angle_alpha 90.00
_cell_angle_beta 90.00
_cell_angle_gamma 90.00
loop_
_atom_site_label
_atom_site_type_symbol
_atom_site_fract_x
_atom_site_fract_y
_atom_site_fract_z
_atom_site_occupancy
Pu1 Pu 0.000 0.000 0.000 1
As1 As 0.250 0.250 0.250 1
Pt1 Pt 0.125 0.125 0.625 1
# calculated formation energy: -419 meV/atom
# N(E_F): 58.96 states/eV per cell
# crystal system: cubic
# magnetic moment: 19.78 μB per cell